No. 1
VASP calculation (GGA-PBE) on a relaxed structure of Ho2Ti2O7.

Cell lengths 7.172, 7.172, 7.172 Å; angles 60.00, 60.00, 60.00 degrees
Positions (direct):
1 Ho 0.000 0.000 0.000
2 Ho 0.000 0.000 0.500
3 Ho 0.000 0.500 0.000
4 Ho 0.500 0.000 0.000
5 Ti 0.000 0.500 0.500
6 Ti 0.500 0.000 0.500
7 Ti 0.500 0.500 0.000
8 Ti 0.500 0.500 0.500
9 O 0.125 0.125 0.125
10 O 0.169 0.169 0.581
11 O 0.169 0.581 0.169
12 O 0.169 0.581 0.581
13 O 0.419 0.419 0.831
14 O 0.419 0.831 0.419
15 O 0.419 0.831 0.831
16 O 0.581 0.169 0.169
17 O 0.581 0.169 0.581
18 O 0.581 0.581 0.169
19 O 0.831 0.419 0.419
20 O 0.831 0.419 0.831
21 O 0.831 0.831 0.419
22 O 0.875 0.875 0.875

Calculated values
uncorrected formation energy: -3.333 eV per atom
calculated total energy: -8.7558 eV/atom



No. 2
VASP calculation (GGA-PBE) on a relaxed structure of LiGa3Pd6.

Cell lengths 7.471, 7.471, 6.098 Å; angles 90.00, 90.00, 106.74 degrees
Positions (direct):
1 Li 0.206 0.794 0.500
2 Li 0.794 0.206 0.000
3 Ga 0.042 0.285 0.389
4 Ga 0.285 0.042 0.889
5 Ga 0.436 0.564 0.770
6 Ga 0.564 0.436 0.270
7 Ga 0.715 0.958 0.389
8 Ga 0.958 0.715 0.889
9 Pd 0.035 0.965 0.214
10 Pd 0.069 0.457 0.744
11 Pd 0.255 0.333 0.068
12 Pd 0.276 0.724 0.053
13 Pd 0.333 0.255 0.568
14 Pd 0.457 0.069 0.244
15 Pd 0.543 0.931 0.744
16 Pd 0.667 0.745 0.068
17 Pd 0.724 0.276 0.553
18 Pd 0.745 0.667 0.568
19 Pd 0.931 0.543 0.244
20 Pd 0.965 0.035 0.714

Calculated values
calculated total energy: -4.7273 eV/atom



No. 3
VASP calculation (GGA-PBE) on a relaxed structure of CsH5Rh.

Cell lengths 4.634, 4.634, 3.654 Å; angles 90.00, 90.00, 90.00 degrees
Positions (direct):
1 Cs 0.000 0.000 0.000
2 H 0.105 0.500 0.500
3 H 0.500 0.105 0.500
4 H 0.500 0.500 0.000
5 H 0.500 0.895 0.500
6 H 0.895 0.500 0.500
7 Rh 0.500 0.500 0.500

Calculated values
calculated total energy: -3.5898 eV/atom



no.,magnetization (μB/cell),calculated density (g/cm3)
1,0.00,6.84
2,0.00,8.71
3,0.00,5.10